(i)
Below is a relaxed LaVNF2 crystal, with properties calculated at the PBE+U level.

a = 4.6028 Å, b = 4.6028 Å, c = 4.7257 Å
α = 90.00°, β = 90.00°, γ = 90.00°
Site moments in Bohr magnetons follow the coordinates.
Sites, in units of the cell vectors:
N 0.0000 0.0000 0.5000  -0.21
F 0.0000 0.5000 0.0000  0.02
F 0.5000 0.0000 0.0000  0.02
V 0.5000 0.5000 0.5000  3.10
La 0.0000 0.0000 0.0000  -0.03

Results
SG: P4/mmm (123)

---

(ii)
Below is a relaxed LaVNF2 crystal, with properties calculated at the PBE+U level.

a = 3.9767 Å, b = 3.9767 Å, c = 4.4643 Å
α = 90.00°, β = 90.00°, γ = 90.00°
Site moments in Bohr magnetons follow the coordinates.
Sites, in units of the cell vectors:
N 0.0000 0.0000 0.5000  -0.04
F 0.0000 0.5000 0.0000  0.03
F 0.5000 0.0000 0.0000  0.03
V 0.0000 0.0000 0.0000  2.59
La 0.5000 0.5000 0.5000  0.12

Results
SG: P4/mmm (123)

---

What should be chosen as the most stable of them? Choose (ii).

---

(i)
Below is a relaxed LaWN2F crystal, with properties calculated at the PBE+U level.

a = 4.0913 Å, b = 4.0913 Å, c = 4.1509 Å
α = 90.00°, β = 90.00°, γ = 90.00°
Site moments in Bohr magnetons follow the coordinates.
Sites, in units of the cell vectors:
N 0.0000 0.5000 0.0000  -0.03
N 0.5000 0.0000 0.0000  -0.03
F 0.0000 0.0000 0.5000  0.02
W 0.0000 0.0000 0.0000  0.42
La 0.5000 0.5000 0.5000  -0.01

Results
SG: P4/mmm (123)

---

(ii)
Below is a relaxed LaWN2F crystal, with properties calculated at the PBE+U level.

a = 4.5982 Å, b = 4.5982 Å, c = 4.4005 Å
α = 90.00°, β = 90.00°, γ = 90.00°
Site moments in Bohr magnetons follow the coordinates.
Sites, in units of the cell vectors:
N 0.0000 0.5000 0.0000  0.29
N 0.5000 0.0000 0.0000  0.29
F 0.0000 0.0000 0.5000  0.01
W 0.5000 0.5000 0.5000  -1.20
La 0.0000 0.0000 0.0000  0.10

Results
SG: P4/mmm (123)

---

What should be chosen as the most stable of them? Choose (i).